--- A ---
Material: Y4CoI5
Method: DFT, GGA-PBE
State: relaxed

Structure (CIF):
```
data_Y4CoI5
_chemical_formula_sum 'Y8 Co2 I10'
_symmetry_space_group_name_H-M 'C 1 2/m 1'
_symmetry_Int_Tables_number 12
_cell_length_a 19.474
_cell_length_b 4.071
_cell_length_c 8.854
_cell_angle_alpha 90.00
_cell_angle_beta 102.64
_cell_angle_gamma 90.00
loop_
_symmetry_equiv_pos_as_xyz
'x,y,z'
'-x,-y,-z'
'-x,y,-z'
'x,-y,z'
'x+1/2,y+1/2,z'
'-x+1/2,-y+1/2,-z'
'-x+1/2,y+1/2,-z'
'x+1/2,-y+1/2,z'
loop_
_atom_site_label
_atom_site_type_symbol
_atom_site_fract_x
_atom_site_fract_y
_atom_site_fract_z
_atom_site_occupancy
Y1 Y 0.000 0.000 0.197 1
Y2 Y 0.139 0.500 0.072 1
Co1 Co 0.000 0.500 0.000 1
I1 I 0.000 0.500 0.500 1
I2 I 0.167 0.000 0.344 1
I3 I 0.176 0.000 0.830 1
```

D(E_F) (states/eV per cell): 13.4


--- B ---
Material: Y4CoI5
Method: DFT, GGA-PBE
State: relaxed

Structure (CIF):
```
data_Y4CoI5
_chemical_formula_sum 'Y8 Co2 I10'
_symmetry_space_group_name_H-M 'C 1 2/m 1'
_symmetry_Int_Tables_number 12
_cell_length_a 22.039
_cell_length_b 4.080
_cell_length_c 8.875
_cell_angle_alpha 90.00
_cell_angle_beta 90.56
_cell_angle_gamma 90.00
loop_
_symmetry_equiv_pos_as_xyz
'x,y,z'
'-x,-y,-z'
'-x,y,-z'
'x,-y,z'
'x+1/2,y+1/2,z'
'-x+1/2,-y+1/2,-z'
'-x+1/2,y+1/2,-z'
'x+1/2,-y+1/2,z'
loop_
_atom_site_label
_atom_site_type_symbol
_atom_site_fract_x
_atom_site_fract_y
_atom_site_fract_z
_atom_site_occupancy
Y1 Y 0.000 0.000 0.203 1
Y2 Y 0.115 0.500 0.003 1
Co1 Co 0.000 0.500 0.000 1
I1 I 0.000 0.500 0.500 1
I2 I 0.150 0.000 0.254 1
I3 I 0.150 0.000 0.753 1
```

D(E_F) (states/eV per cell): 10.6


Most stable structure: A


--- A ---
Material: Y3CoI
Method: DFT, GGA-PBE
State: relaxed

Structure (CIF):
```
data_Y3CoI
_chemical_formula_sum 'Y3 Co1 I1'
_symmetry_space_group_name_H-M 'P m -3 m'
_symmetry_Int_Tables_number 221
_symmetry_space_group_name_Hall '-P 4 2 3'
_cell_length_a 5.282
_cell_length_b 5.282
_cell_length_c 5.282
_cell_angle_alpha 90.00
_cell_angle_beta 90.00
_cell_angle_gamma 90.00
loop_
_atom_site_label
_atom_site_type_symbol
_atom_site_fract_x
_atom_site_fract_y
_atom_site_fract_z
_atom_site_occupancy
Y1 Y 0.000 0.000 0.500 1
Co1 Co 0.000 0.000 0.000 1
I1 I 0.500 0.500 0.500 1
```

D(E_F) (states/eV per cell): 3.9


--- B ---
Material: Y3CoI
Method: DFT, GGA-PBE
State: relaxed

Structure (CIF):
```
data_Y3CoI
_chemical_formula_sum 'Y6 Co2 I2'
_symmetry_space_group_name_H-M 'P m m n'
_symmetry_Int_Tables_number 59
_cell_length_a 3.970
_cell_length_b 7.103
_cell_length_c 9.856
_cell_angle_alpha 90.00
_cell_angle_beta 90.00
_cell_angle_gamma 90.00
loop_
_symmetry_equiv_pos_as_xyz
'x,y,z'
'-x,-y,-z'
'-x+1/2,-y+1/2,z'
'x+1/2,y+1/2,-z'
'x+1/2,-y,-z'
'-x+1/2,y,z'
'-x,y+1/2,-z'
'x,-y+1/2,z'
loop_
_atom_site_label
_atom_site_type_symbol
_atom_site_fract_x
_atom_site_fract_y
_atom_site_fract_z
_atom_site_occupancy
Y1 Y 0.250 0.006 0.142 1
Y2 Y 0.250 0.750 0.616 1
Co1 Co 0.250 0.750 0.899 1
I1 I 0.250 0.250 0.645 1
```

D(E_F) (states/eV per cell): 8.5


Most stable structure: B


--- A ---
Material: YCoI3
Method: DFT, GGA-PBE
State: relaxed

Structure (CIF):
```
data_YCoI3
_chemical_formula_sum 'Y1 Co1 I3'
_symmetry_space_group_name_H-M 'P m -3 m'
_symmetry_Int_Tables_number 221
_symmetry_space_group_name_Hall '-P 4 2 3'
_cell_length_a 5.209
_cell_length_b 5.209
_cell_length_c 5.209
_cell_angle_alpha 90.00
_cell_angle_beta 90.00
_cell_angle_gamma 90.00
loop_
_atom_site_label
_atom_site_type_symbol
_atom_site_fract_x
_atom_site_fract_y
_atom_site_fract_z
_atom_site_occupancy
Y1 Y 0.000 0.000 0.000 1
Co1 Co 0.500 0.500 0.500 1
I1 I 0.000 0.500 0.500 1
```

D(E_F) (states/eV per cell): 3.8


--- B ---
Material: YCoI3
Method: DFT, GGA-PBE
State: relaxed

Structure (CIF):
```
data_YCoI3
_chemical_formula_sum 'Y1 Co1 I3'
_symmetry_space_group_name_H-M 'P m -3 m'
_symmetry_Int_Tables_number 221
_symmetry_space_group_name_Hall '-P 4 2 3'
_cell_length_a 6.016
_cell_length_b 6.016
_cell_length_c 6.016
_cell_angle_alpha 90.00
_cell_angle_beta 90.00
_cell_angle_gamma 90.00
loop_
_atom_site_label
_atom_site_type_symbol
_atom_site_fract_x
_atom_site_fract_y
_atom_site_fract_z
_atom_site_occupancy
Y1 Y 0.000 0.000 0.000 1
Co1 Co 0.500 0.500 0.500 1
I1 I 0.000 0.000 0.500 1
```

D(E_F) (states/eV per cell): 28.8


Most stable structure: A


--- A ---
Material: ZnCoI3
Method: DFT, GGA-PBE
State: relaxed

Structure (CIF):
```
data_ZnCoI3
_chemical_formula_sum 'Zn1 Co1 I3'
_symmetry_space_group_name_H-M 'P m -3 m'
_symmetry_Int_Tables_number 221
_symmetry_space_group_name_Hall '-P 4 2 3'
_cell_length_a 5.359
_cell_length_b 5.359
_cell_length_c 5.359
_cell_angle_alpha 90.00
_cell_angle_beta 90.00
_cell_angle_gamma 90.00
loop_
_atom_site_label
_atom_site_type_symbol
_atom_site_fract_x
_atom_site_fract_y
_atom_site_fract_z
_atom_site_occupancy
Zn1 Zn 0.000 0.000 0.000 1
Co1 Co 0.500 0.500 0.500 1
I1 I 0.000 0.500 0.500 1
```

D(E_F) (states/eV per cell): 10.2


--- B ---
Material: ZnCoI3
Method: DFT, GGA-PBE
State: relaxed

Structure (CIF):
```
data_ZnCoI3
_chemical_formula_sum 'Zn1 Co1 I3'
_symmetry_space_group_name_H-M 'P m -3 m'
_symmetry_Int_Tables_number 221
_symmetry_space_group_name_Hall '-P 4 2 3'
_cell_length_a 5.574
_cell_length_b 5.574
_cell_length_c 5.574
_cell_angle_alpha 90.00
_cell_angle_beta 90.00
_cell_angle_gamma 90.00
loop_
_atom_site_label
_atom_site_type_symbol
_atom_site_fract_x
_atom_site_fract_y
_atom_site_fract_z
_atom_site_occupancy
Zn1 Zn 0.000 0.000 0.000 1
Co1 Co 0.500 0.500 0.500 1
I1 I 0.000 0.000 0.500 1
```

D(E_F) (states/eV per cell): 5.1


Most stable structure: A


--- A ---
Material: In4Co
Method: DFT, GGA-PBE
State: relaxed

Structure (CIF):
```
data_In4Co
_chemical_formula_sum 'In4 Co1'
_symmetry_space_group_name_H-M 'P m -3 m'
_symmetry_Int_Tables_number 221
_symmetry_space_group_name_Hall '-P 4 2 3'
_cell_length_a 4.996
_cell_length_b 4.996
_cell_length_c 4.996
_cell_angle_alpha 90.00
_cell_angle_beta 90.00
_cell_angle_gamma 90.00
loop_
_atom_site_label
_atom_site_type_symbol
_atom_site_fract_x
_atom_site_fract_y
_atom_site_fract_z
_atom_site_occupancy
In1 In 0.000 0.000 0.000 1
In2 In 0.000 0.500 0.500 1
Co1 Co 0.500 0.500 0.500 1
```

D(E_F) (states/eV per cell): 2.2


--- B ---
Material: In4Co
Method: DFT, GGA-PBE
State: relaxed

Structure (CIF):
```
data_In4Co
_chemical_formula_sum 'In8 Co2'
_symmetry_space_group_name_H-M 'I 4/m m m'
_symmetry_Int_Tables_number 139
_symmetry_space_group_name_Hall '-I 4 2'
_cell_length_a 3.991
_cell_length_b 3.991
_cell_length_c 16.256
_cell_angle_alpha 90.00
_cell_angle_beta 90.00
_cell_angle_gamma 90.00
loop_
_atom_site_label
_atom_site_type_symbol
_atom_site_fract_x
_atom_site_fract_y
_atom_site_fract_z
_atom_site_occupancy
In1 In 0.000 0.000 0.087 1
In2 In 0.000 0.500 0.250 1
Co1 Co 0.000 0.000 0.500 1
```

D(E_F) (states/eV per cell): 9.5


Most stable structure: A


--- A ---
Material: InCoIr
Method: DFT, GGA-PBE
State: relaxed

Structure (CIF):
```
data_InCoIr
_chemical_formula_sum 'In2 Co2 Ir2'
_symmetry_space_group_name_H-M 'P 1 21/m 1'
_symmetry_Int_Tables_number 11
_cell_length_a 3.829
_cell_length_b 4.076
_cell_length_c 6.161
_cell_angle_alpha 90.00
_cell_angle_beta 108.18
_cell_angle_gamma 90.00
loop_
_symmetry_equiv_pos_as_xyz
'x,y,z'
'-x,-y,-z'
'-x,y+1/2,-z'
'x,-y+1/2,z'
loop_
_atom_site_label
_atom_site_type_symbol
_atom_site_fract_x
_atom_site_fract_y
_atom_site_fract_z
_atom_site_occupancy
In1 In 0.095 0.250 0.190 1
Co1 Co 0.247 0.750 0.495 1
Ir1 Ir 0.405 0.250 0.811 1
```

D(E_F) (states/eV per cell): 6.5


--- B ---
Material: InCoIr
Method: DFT, GGA-PBE
State: relaxed

Structure (CIF):
```
data_InCoIr
_chemical_formula_sum 'In1 Co1 Ir1'
_symmetry_space_group_name_H-M 'P -6 m 2'
_symmetry_Int_Tables_number 187
_symmetry_space_group_name_Hall 'P -6 2'
_cell_length_a 4.2645
_cell_length_b 4.2645
_cell_length_c 2.9919
_cell_angle_alpha 90.00
_cell_angle_beta 90.00
_cell_angle_gamma 120.00
loop_
_atom_site_label
_atom_site_type_symbol
_atom_site_fract_x
_atom_site_fract_y
_atom_site_fract_z
_atom_site_occupancy
In1 In 0.0000 0.0000 0.0000 1
Co1 Co 0.3333 0.6667 0.5000 1
Ir1 Ir 0.6667 0.3333 0.5000 1
```

D(E_F) (states/eV per cell): 4.0


Most stable structure: A


--- A ---
Material: InCoIr
Method: DFT, GGA-PBE
State: relaxed

Structure (CIF):
```
data_InCoIr
_chemical_formula_sum 'In2 Co2 Ir2'
_symmetry_space_group_name_H-M 'I m m 2'
_symmetry_Int_Tables_number 44
_cell_length_a 2.911
_cell_length_b 3.693
_cell_length_c 8.615
_cell_angle_alpha 90.00
_cell_angle_beta 90.00
_cell_angle_gamma 90.00
loop_
_symmetry_equiv_pos_as_xyz
'x,y,z'
'-x,-y,z'
'-x,y,z'
'x,-y,z'
'x+1/2,y+1/2,z+1/2'
'-x+1/2,-y+1/2,z+1/2'
'-x+1/2,y+1/2,z+1/2'
'x+1/2,-y+1/2,z+1/2'
loop_
_atom_site_label
_atom_site_type_symbol
_atom_site_fract_x
_atom_site_fract_y
_atom_site_fract_z
_atom_site_occupancy
In1 In 0.000 0.000 0.000 1
Co1 Co 0.000 0.000 0.322 1
Ir1 Ir 0.000 0.000 0.681 1
```

D(E_F) (states/eV per cell): 5.9


--- B ---
Material: InCoIr
Method: DFT, GGA-PBE
State: relaxed

Structure (CIF):
```
data_InCoIr
_chemical_formula_sum 'In4 Co4 Ir4'
_symmetry_space_group_name_H-M 'F -4 3 m'
_symmetry_Int_Tables_number 216
_symmetry_space_group_name_Hall 'F -4 2 3'
_cell_length_a 5.901
_cell_length_b 5.901
_cell_length_c 5.901
_cell_angle_alpha 90.00
_cell_angle_beta 90.00
_cell_angle_gamma 90.00
loop_
_atom_site_label
_atom_site_type_symbol
_atom_site_fract_x
_atom_site_fract_y
_atom_site_fract_z
_atom_site_occupancy
In1 In 0.000 0.000 0.000 1
Co1 Co 0.250 0.250 0.750 1
Ir1 Ir 0.000 0.000 0.500 1
```

D(E_F) (states/eV per cell): 10.8


Most stable structure: A


--- A ---
Material: InCoIr
Method: DFT, GGA-PBE
State: relaxed

Structure (CIF):
```
data_InCoIr
_chemical_formula_sum 'In4 Co4 Ir4'
_symmetry_space_group_name_H-M 'F -4 3 m'
_symmetry_Int_Tables_number 216
_symmetry_space_group_name_Hall 'F -4 2 3'
_cell_length_a 6.067
_cell_length_b 6.067
_cell_length_c 6.067
_cell_angle_alpha 90.00
_cell_angle_beta 90.00
_cell_angle_gamma 90.00
loop_
_atom_site_label
_atom_site_type_symbol
_atom_site_fract_x
_atom_site_fract_y
_atom_site_fract_z
_atom_site_occupancy
In1 In 0.000 0.000 0.000 1
Co1 Co 0.000 0.000 0.500 1
Ir1 Ir 0.250 0.250 0.250 1
```

D(E_F) (states/eV per cell): 10.2


--- B ---
Material: InCoIr
Method: DFT, GGA-PBE
State: relaxed

Structure (CIF):
```
data_InCoIr
_chemical_formula_sum 'In2 Co2 Ir2'
_symmetry_space_group_name_H-M 'I 4 m m'
_symmetry_Int_Tables_number 107
_symmetry_space_group_name_Hall 'I 4 -2'
_cell_length_a 2.898
_cell_length_b 2.898
_cell_length_c 10.928
_cell_angle_alpha 90.00
_cell_angle_beta 90.00
_cell_angle_gamma 90.00
loop_
_atom_site_label
_atom_site_type_symbol
_atom_site_fract_x
_atom_site_fract_y
_atom_site_fract_z
_atom_site_occupancy
In1 In 0.000 0.000 0.000 1
Co1 Co 0.000 0.000 0.326 1
Ir1 Ir 0.000 0.000 0.686 1
```

D(E_F) (states/eV per cell): 6.8


Most stable structure: B